Density functional theory data (GGA+U) for an optimized crystal structure of Sr3Ca5Mn8O23.

Results
SG   Pm
Total DFT energy (no corrections)   -270.0 eV/cell

a = 7.6383 Å, b = 7.6776 Å, c = 7.7628 Å
α = 90.00°, β = 90.00°, γ = 90.30°
Closest atoms and distances in Å follow each position.
Atoms (fractional coordinates):
Ca 0.7347 0.2794 0.7500  8 O 2.43-2.64
Ca 0.7711 0.7288 0.2500  8 O 2.38-2.61
Ca 0.2445 0.7609 0.7500  4 O 2.35-2.50
Ca 0.2746 0.7233 0.2500  8 O 2.39-2.65
Ca 0.7153 0.7529 0.7500  6 O 2.37-2.55
O 0.7535 0.9637 0.4511  2 Mn 1.92-1.98
O 0.2451 0.0307 0.9789  2 Mn 1.93-1.98
O 0.9641 0.2457 0.5245  2 Mn 1.96-2.03
O 0.0355 0.7565 0.0538  2 Mn 1.92-1.98
O 0.2451 0.0307 0.5211  2 Mn 1.93-1.98
O 0.4872 0.4811 0.7500  2 Mn 1.94
O 0.2522 0.4768 0.0293  2 Mn 1.94
O 0.0376 0.5337 0.7500  2 Mn 1.97
O 0.0355 0.7565 0.4462  2 Mn 1.92-1.98
O 0.9691 0.9359 0.7500  2 Mn 1.87
O 0.4600 0.9748 0.2500  2 Mn 1.97
O 0.4640 0.7529 0.5342  2 Mn 1.92-1.95
O 0.9641 0.2457 0.9755  2 Mn 1.96-2.03
O 0.5296 0.5320 0.2500  2 Mn 1.97
O 0.7535 0.9637 0.0489  2 Mn 1.92-1.98
O 0.5300 0.2525 0.4835  2 Mn 1.95-1.97
O 0.7537 0.5420 0.9696  2 Mn 1.93-1.95
O 0.5471 0.0231 0.7500  2 Mn 1.99
O 0.7537 0.5420 0.5304  2 Mn 1.93-1.95
O 0.4640 0.7529 0.9658  2 Mn 1.92-1.95
O 0.5300 0.2525 0.0165  2 Mn 1.95-1.97
O 0.9730 0.4741 0.2500  2 Mn 1.97
O 0.2522 0.4768 0.4707  2 Mn 1.94
Mn 0.5026 0.5049 0.9990  6 O 1.94-1.97
Mn 0.5018 0.9984 0.4992  6 O 1.92-1.99
Mn 0.0021 0.5062 0.4997  6 O 1.93-2.03
Mn 0.9945 0.9925 0.9836  5 O 1.87-1.96
Mn 0.0021 0.5062 0.0003  6 O 1.93-2.03
Mn 0.5018 0.9984 0.0008  6 O 1.92-1.99
Mn 0.5026 0.5049 0.5010  6 O 1.94-1.97
Mn 0.9945 0.9925 0.5164  5 O 1.87-1.96
Sr 0.7485 0.2447 0.2500  7 O 2.45-2.69
Sr 0.2637 0.2460 0.2500  7 O 2.47-2.72
Sr 0.2456 0.2638 0.7500  8 O 2.48-2.78